No. 1
Below is Mn2VCdMo after structural relaxation, with properties calculated at the PBE level.

```
Mn2VCdMo
1.0
4.279 0.000 0.000
0.000 4.974 0.000
0.000 0.000 4.279
Mn Mo V Cd
2 1 1 1
Direct
0.000 0.000 0.500 Mn
0.500 0.000 0.000 Mn
0.500 0.500 0.500 Mo
0.000 0.000 0.000 V
0.000 0.500 0.000 Cd
```

- V: 18.2 A^3/atom
- Total energy: -32.595 eV/cell
- E_form: 1.322 eV per atom

---

No. 2
Below is AcEu2Rh after structural relaxation, with properties calculated at the PBE level.

```
AcEu2Rh
1.0
3.662 0.000 0.000
0.000 3.662 0.000
0.000 0.000 9.577
Eu Ac Rh
2 1 1
Direct
0.000 0.000 0.173 Eu
0.000 0.000 0.827 Eu
0.500 0.500 0.500 Ac
0.500 0.500 0.000 Rh
```

- Distance to the lowest polymorph of the same formula: 0.0000 eV per atom
- V: 32.1 A^3/atom
- Total energy: -32.654 eV/cell
- E_form: -0.161 eV per atom

---

No. 3
Below is ZrTiTe2Se after structural relaxation, with properties calculated at the PBE level.

```
ZrTiTe2Se
1.0
-3.070 -4.477 -1.273
3.805 -1.916 -2.437
1.726 -2.512 4.670
Te Ti Se Zr
2 1 1 1
Direct
0.000 0.000 0.500 Te
0.500 0.000 0.000 Te
0.500 0.500 0.500 Ti
0.000 0.000 0.000 Se
0.000 0.500 0.000 Zr
```

- V: 30.5 A^3/atom
- Total energy: -23.106 eV/cell
- Energy relative to the elements, uncorrected: 3.105 eV/f.u.

---

No. 4
Below is Rb2Hg2S3 after structural relaxation, with properties calculated at the PBE level.

```
Rb2Hg2S3
1.0
-2.632 -6.864 -0.520
7.450 -7.291 4.655
-6.316 -2.358 9.213
Hg Rb S
8 8 12
Direct
0.884 0.454 0.910 Hg
0.365 0.646 0.796 Hg
0.635 0.354 0.204 Hg
0.116 0.546 0.090 Hg
0.384 0.910 0.454 Hg
0.616 0.090 0.546 Hg
0.135 0.204 0.354 Hg
0.865 0.796 0.646 Hg
0.857 0.017 0.199 Rb
0.750 0.568 0.432 Rb
0.643 0.801 0.983 Rb
0.250 0.715 0.285 Rb
0.143 0.983 0.801 Rb
0.750 0.285 0.715 Rb
0.250 0.432 0.568 Rb
0.357 0.199 0.017 Rb
0.732 0.558 0.145 S
0.768 0.855 0.442 S
0.156 0.758 0.010 S
0.844 0.242 0.990 S
0.739 0.265 0.410 S
0.239 0.410 0.265 S
0.344 0.990 0.242 S
0.232 0.145 0.558 S
0.656 0.010 0.758 S
0.268 0.442 0.855 S
0.761 0.590 0.735 S
0.261 0.735 0.590 S
```

- Distance to the lowest polymorph of the same formula: 0.0000 eV per atom
- V: 30.5 A^3/atom
- Total energy: -76.899 eV/cell
- Energy relative to the elements, uncorrected: -4.304 eV/f.u.

---

No. 5
Below is Ac4Ga3Sn after structural relaxation, with properties calculated at the PBE level.

```
Ac4Ga3Sn
1.0
4.824 0.000 0.000
0.000 4.411 0.000
0.000 0.000 12.124
Sn Ac Ga
1 4 3
Direct
0.500 0.500 0.070 Sn
0.500 0.500 0.367 Ac
0.000 0.000 0.147 Ac
0.000 0.500 0.853 Ac
0.500 0.000 0.639 Ac
0.000 0.000 0.435 Ga
0.500 0.000 0.922 Ga
0.000 0.500 0.567 Ga
```

- V: 32.2 A^3/atom
- Total energy: -34.115 eV/cell
- E_form: -0.575 eV per atom

---

No. 6
Below is CsKSrBi after structural relaxation, with properties calculated at the PBE level.

```
CsKSrBi
1.0
-2.095 1.207 -5.847
-6.204 0.635 -1.070
-2.406 5.685 -1.388
Cs Sr Bi K
1 1 1 1
Direct
0.500 0.500 0.500 Cs
0.250 0.250 0.250 Sr
0.000 0.000 0.000 Bi
0.750 0.750 0.750 K
```

- V: 44.8 A^3/atom
- Total energy: -8.416 eV/cell
- E_form: -0.226 eV per atom

---

No. 7
Below is CaGa12Pt4 after structural relaxation, with properties calculated at the PBE level.

```
CaGa12Pt4
1.0
7.683 0.000 0.000
-2.561 7.243 0.000
-2.561 -3.622 6.273
Ga Pt Ca
12 4 1
Direct
0.845 0.652 0.497 Ga
0.503 0.155 0.348 Ga
0.845 0.348 0.193 Ga
0.348 0.193 0.845 Ga
0.652 0.497 0.845 Ga
0.348 0.503 0.155 Ga
0.807 0.155 0.652 Ga
0.155 0.348 0.503 Ga
0.193 0.845 0.348 Ga
0.155 0.652 0.807 Ga
0.497 0.845 0.652 Ga
0.652 0.807 0.155 Ga
0.500 0.500 0.500 Pt
0.000 0.000 0.500 Pt
0.500 0.000 0.000 Pt
0.000 0.500 0.000 Pt
0.000 0.000 0.000 Ca
```

- V: 20.5 A^3/atom
- Total energy: -68.221 eV/cell
- E_form: -0.337 eV per atom

---

No. 8
Below is Ba4LiPt after structural relaxation, with properties calculated at the PBE level.

```
Ba4LiPt
1.0
-5.078 -4.927 -2.988
6.446 -4.716 -3.184
0.792 -0.859 10.114
Ba Li Pt
8 2 2
Direct
0.490 0.963 0.190 Ba
0.305 0.536 0.808 Ba
0.895 0.852 0.622 Ba
0.272 0.649 0.380 Ba
0.105 0.148 0.378 Ba
0.695 0.464 0.192 Ba
0.510 0.037 0.810 Ba
0.728 0.351 0.620 Ba
0.109 0.254 0.001 Li
0.891 0.746 0.999 Li
0.500 0.000 0.500 Pt
0.000 0.500 0.500 Pt
```

- Distance to the lowest polymorph of the same formula: 0.0000 eV per atom
- V: 49.6 A^3/atom
- Total energy: -34.704 eV/cell
- E_form: -0.284 eV per atom

---

No. 9
Below is CsHS2O8 after structural relaxation, with properties calculated at the PBE level.

```
CsHS2O8
1.0
-1.909 -2.115 -3.861
-1.098 -6.446 1.092
-7.153 -1.489 1.371
O Cs S H
8 1 2 1
Direct
0.791 0.737 0.681 O
0.209 0.263 0.319 O
0.848 0.964 0.844 O
0.344 0.964 0.844 O
0.656 0.036 0.156 O
0.152 0.036 0.156 O
0.337 0.375 0.952 O
0.663 0.625 0.048 O
0.500 0.500 0.500 Cs
0.336 0.191 0.137 S
0.664 0.809 0.863 S
0.000 0.000 0.000 H
```

- V: 16.6 A^3/atom
- Total energy: -63.665 eV/cell

---

No. 10
Below is Pm2Zr2Se7 after structural relaxation, with properties calculated at the PBE level.

```
Pm2Zr2Se7
1.0
4.003 0.000 0.000
2.002 8.544 -0.119
2.002 3.947 7.579
Se Pm Zr
7 2 2
Direct
0.821 0.054 0.304 Se
0.603 0.502 0.292 Se
0.179 0.696 0.946 Se
0.872 0.425 0.832 Se
0.397 0.708 0.498 Se
0.500 0.008 0.992 Se
0.128 0.168 0.575 Se
0.726 0.859 0.688 Pm
0.274 0.312 0.141 Pm
0.500 0.343 0.657 Zr
0.000 0.779 0.221 Zr
```

- V: 23.7 A^3/atom
- Total energy: -67.407 eV/cell
- Energy relative to the elements, uncorrected: -16.417 eV/f.u.

---

No. 11
Below is Dy6In2Cu after structural relaxation, with properties calculated at the PBE level.

```
Dy6In2Cu
1.0
-0.617 -4.938 0.652
0.442 -1.348 -9.791
9.809 -1.147 0.600
Dy In Cu
12 4 2
Direct
0.500 0.527 0.313 Dy
0.000 0.619 0.881 Dy
0.500 0.813 0.027 Dy
0.000 0.687 0.527 Dy
0.500 0.881 0.381 Dy
0.500 0.187 0.973 Dy
0.000 0.313 0.473 Dy
0.500 0.119 0.619 Dy
0.500 0.473 0.687 Dy
0.000 0.027 0.187 Dy
0.000 0.973 0.813 Dy
0.000 0.381 0.119 Dy
0.500 0.205 0.295 In
0.000 0.705 0.205 In
0.500 0.795 0.705 In
0.000 0.295 0.795 In
0.000 0.000 0.500 Cu
0.500 0.500 0.000 Cu
```

- V: 27.3 A^3/atom
- Total energy: -78.833 eV/cell
- E_form: -0.248 eV per atom

---

No. 12
Below is NdSmIrAu after structural relaxation, with properties calculated at the PBE level.

```
NdSmIrAu
1.0
3.941 0.000 0.000
0.000 4.587 0.000
-1.971 0.000 5.407
Nd Au Ir Sm
1 1 1 1
Direct
0.142 0.000 0.284 Nd
0.583 0.500 0.165 Au
0.411 0.000 0.823 Ir
0.864 0.500 0.728 Sm
```

- Distance to the lowest polymorph of the same formula: 0.0000 eV per atom
- V: 24.4 A^3/atom
- Total energy: -24.574 eV/cell
- E_form: -0.737 eV per atom